(1)
# NaHgMo2Br (GGA-PBE, relaxed)
# VASP energy   -0.126 Ha/atom
# Formation energy without anion corrections   1554.8 meV/atom
# Total moment   1.841 μB per atom
data_NaHgMo2Br
_chemical_formula_sum 'Na1 Hg1 Mo2 Br1'
_cell_length_a 5.383
_cell_length_b 5.383
_cell_length_c 6.467
_cell_angle_alpha 90.00
_cell_angle_beta 90.00
_cell_angle_gamma 90.00
_space_group_name_H-M_alt 'P 4/m m m'
_space_group_IT_number 123
_space_group_name_Hall '-P 4 2'
loop_
_atom_site_label
_atom_site_type_symbol
_atom_site_fract_x
_atom_site_fract_y
_atom_site_fract_z
Na1 Na 0.000 0.000 0.000
Hg1 Hg 0.500 0.500 0.500
Mo1 Mo 0.000 0.500 0.500
Br1 Br 0.500 0.500 0.000

=====

(2)
# GeRuN (GGA-PBE, relaxed)
# VASP energy   -0.265 Ha/atom
# Formation energy without anion corrections   182.6 meV/atom
# Total moment   0.000 μB per atom
# Energy above the lowest structure with this stoichiometry   76.4 meV/atom
data_GeRuN
_chemical_formula_sum 'Ge2 Ru2 N2'
_cell_length_a 2.815
_cell_length_b 2.986
_cell_length_c 9.449
_cell_angle_alpha 90.00
_cell_angle_beta 90.00
_cell_angle_gamma 90.00
_space_group_name_H-M_alt 'A m m 2'
_space_group_IT_number 38
loop_
_space_group_symop_operation_xyz
'x,y,z'
'-x,-y,z'
'-x,y,z'
'x,-y,z'
'x,y+1/2,z+1/2'
'-x,-y+1/2,z+1/2'
'-x,y+1/2,z+1/2'
'x,-y+1/2,z+1/2'
loop_
_atom_site_label
_atom_site_type_symbol
_atom_site_fract_x
_atom_site_fract_y
_atom_site_fract_z
Ge1 Ge 0.000 0.000 0.000
Ru1 Ru 0.500 0.000 0.783
N1 N 0.000 0.000 0.627

=====

(3)
# La3In3Pd2 (GGA-PBE, relaxed)
# Formation energy from the elements   -0.67 eV per atom
# VASP energy   -0.178 Ha/atom
# Total moment   0.000 μB per atom
data_La3In3Pd2
_chemical_formula_sum 'La12 In12 Pd8'
_cell_length_a 8.689
_cell_length_b 16.894
_cell_length_c 5.799
_cell_angle_alpha 90.00
_cell_angle_beta 90.00
_cell_angle_gamma 90.00
_space_group_name_H-M_alt 'P n m a'
_space_group_IT_number 62
loop_
_space_group_symop_operation_xyz
'x,y,z'
'-x,-y,-z'
'-x+1/2,-y,z+1/2'
'x+1/2,y,-z+1/2'
'x+1/2,-y+1/2,-z+1/2'
'-x+1/2,y+1/2,z+1/2'
'-x,y+1/2,-z'
'x,-y+1/2,z'
loop_
_atom_site_label
_atom_site_type_symbol
_atom_site_fract_x
_atom_site_fract_y
_atom_site_fract_z
La1 La 0.036 0.110 0.114
La2 La 0.165 0.250 0.640
In1 In 0.174 0.750 0.640
In2 In 0.185 0.034 0.605
Pd1 Pd 0.099 0.614 0.379

=====

(4)
# K2Ca2Br (GGA-PBE, relaxed)
# VASP energy   -0.071 Ha/atom
# Formation energy without anion corrections   -364.0 meV/atom
# Total moment   0.086 μB per atom
# Energy above the lowest structure with this stoichiometry   0.0 meV/atom
data_K2Ca2Br
_chemical_formula_sum 'K4 Ca4 Br2'
_cell_length_a 8.124
_cell_length_b 8.124
_cell_length_c 7.507
_cell_angle_alpha 90.00
_cell_angle_beta 90.00
_cell_angle_gamma 90.00
_space_group_name_H-M_alt 'P 4/m b m'
_space_group_IT_number 127
_space_group_name_Hall '-P 4 2ab'
loop_
_atom_site_label
_atom_site_type_symbol
_atom_site_fract_x
_atom_site_fract_y
_atom_site_fract_z
K1 K 0.168 0.332 0.000
Ca1 Ca 0.165 0.665 0.500
Br1 Br 0.000 0.000 0.500

=====

(5)
# LiSe5 (GGA-PBE, relaxed)
# VASP energy   -0.126 Ha/atom
# Formation energy without anion corrections   -200.7 meV/atom
# Total moment   0.000 μB per atom
data_LiSe5
_chemical_formula_sum 'Li2 Se10'
_cell_length_a 12.752
_cell_length_b 3.519
_cell_length_c 8.961
_cell_angle_alpha 90.00
_cell_angle_beta 125.13
_cell_angle_gamma 90.00
_space_group_name_H-M_alt 'C 1 m 1'
_space_group_IT_number 8
loop_
_space_group_symop_operation_xyz
'x,y,z'
'x,-y,z'
'x+1/2,y+1/2,z'
'x+1/2,-y+1/2,z'
loop_
_atom_site_label
_atom_site_type_symbol
_atom_site_fract_x
_atom_site_fract_y
_atom_site_fract_z
Li1 Li 0.000 0.000 0.000
Se1 Se 0.049 0.000 0.757
Se2 Se 0.050 0.500 0.338
Se3 Se 0.202 0.500 0.263
Se4 Se 0.360 0.000 0.045
Se5 Se 0.395 0.000 0.543

=====

(6)
# LiLaTe2 (GGA-PBE, relaxed)
# VASP energy   -0.163 Ha/atom
# Formation energy without anion corrections   -1157.9 meV/atom
# Total moment   0.000 μB per atom
data_LiLaTe2
_chemical_formula_sum 'Li4 La4 Te8'
_cell_length_a 6.705
_cell_length_b 6.705
_cell_length_c 14.356
_cell_angle_alpha 90.00
_cell_angle_beta 90.00
_cell_angle_gamma 90.00
_space_group_name_H-M_alt 'I -4 2 d'
_space_group_IT_number 122
_space_group_name_Hall 'I -4 2bw'
loop_
_atom_site_label
_atom_site_type_symbol
_atom_site_fract_x
_atom_site_fract_y
_atom_site_fract_z
Li1 Li 0.000 0.000 0.000
La1 La 0.000 0.000 0.500
Te1 Te 0.218 0.250 0.125